1.
Entry from the Alexandria database: a geometry-optimized BaTa2Sb structure (PBE).

Cell: 3.1557 3.1557 10.1559 Å, 90.00 90.00 105.72°
Element x y z (fractional)
1 Ba 0.5000 0.5000 0.2500
2 Sb 0.5000 0.5000 0.7500
3 Ta 0.0000 0.0000 0.9556
4 Ta 0.0000 0.0000 0.5444

As for the formation energy without anion corrections: 310 kJ/mol of formula units. As for the total energy: -6.635 eV per atom.

***

2.
Entry from the Alexandria database: a geometry-optimized NaSrLaCl6 structure (PBE).

Cell: 7.1830 7.1830 12.7102 Å, 90.00 90.00 120.00°
Element x y z (fractional)
1 Na 0.3333 0.6667 0.2500
2 Na 0.6667 0.3333 0.7500
3 Sr 0.0000 0.0000 0.0000
4 Sr 0.0000 0.0000 0.5000
5 La 0.6667 0.3333 0.2500
6 La 0.3333 0.6667 0.7500
7 Cl 0.6621 0.6570 0.1290
8 Cl 0.9949 0.3379 0.1290
9 Cl 0.3379 0.9949 0.6290
10 Cl 0.0051 0.6621 0.8710
11 Cl 0.3430 0.3379 0.3710
12 Cl 0.9949 0.6570 0.3710
13 Cl 0.6570 0.9949 0.8710
14 Cl 0.6621 0.0051 0.3710
15 Cl 0.0051 0.3430 0.6290
16 Cl 0.3430 0.0051 0.1290
17 Cl 0.6570 0.6621 0.6290
18 Cl 0.3379 0.3430 0.8710

As for the formation energy without anion corrections: -1975 kJ/mol of formula units. As for the total energy: -4.386 eV per atom.

***

3.
Entry from the Alexandria database: a geometry-optimized PmAlSiNi3 structure (PBE).

Cell: 5.4140 6.2097 6.5595 Å, 118.25 90.00 90.00°
Element x y z (fractional)
1 Pm 0.7500 0.2848 0.5695
2 Pm 0.2500 0.7152 0.4305
3 Al 0.2500 0.9726 0.9453
4 Al 0.7500 0.0274 0.0547
5 Si 0.2500 0.3749 0.7498
6 Si 0.7500 0.6251 0.2502
7 Ni 0.2500 0.1765 0.3531
8 Ni 0.0000 0.3038 0.0000
9 Ni 0.5000 0.6962 0.0000
10 Ni 0.5000 0.3038 0.0000
11 Ni 0.0000 0.6962 0.0000
12 Ni 0.7500 0.8235 0.6469

As for the formation energy without anion corrections: -237 kJ/mol of formula units. As for the total energy: -5.620 eV per atom.

***

4.
Entry from the Alexandria database: a geometry-optimized Na2CuO2 structure (PBE).

Cell: 2.9430 5.6706 8.3117 Å, 70.40 90.00 90.00°
Site moments in Bohr magnetons follow the coordinates.
Element x y z (fractional)
1 Na 0.2500 0.6199 0.1179  0.00
2 Na 0.7500 0.3801 0.8821  0.00
3 Na 0.2500 0.6788 0.5591  0.00
4 Na 0.7500 0.3212 0.4409  0.00
5 Cu 0.2500 0.0254 0.2411  0.45
6 Cu 0.7500 0.9746 0.7589  0.45
7 O 0.7500 0.7692 0.3182  0.16
8 O 0.2500 0.2308 0.6818  0.16
9 O 0.7500 0.2687 0.1784  0.17
10 O 0.2500 0.7313 0.8216  0.17

As for the formation energy without anion corrections: -496 kJ/mol of formula units. As for the total energy: -4.359 eV per atom.